# 1
This record from Alexandria describes a relaxed Sm2DyYEr crystal. The functional is GGA-PBE.

abc: 8.3468 11.5540 7.2127
angles: 90.00 90.00 90.00
With the nearest neighbours (Å) after each atom.
Space group Cmcm (No. 63)
One atom of each set of equivalent atoms:
Sm 0.1930 0.0000 0.0000 (multiplicity 8)  2 Dy 3.15, 1 Sm 3.22, 2 Er 3.43
Dy 0.0000 0.4743 0.2500 (multiplicity 4)  1 Er 3.05, 4 Sm 3.15, 1 Y 3.28
Y 0.0000 0.2416 0.7500 (multiplicity 4)  1 Dy 3.28, 2 Er 3.62
Er 0.0000 0.2105 0.2500 (multiplicity 4)  1 Dy 3.05

## Properties
For the calculated volume, the calculation gives 696 Å³/cell. The calculation puts the energy of formation at 2.09 eV per formula unit. The magnetic moment is 0.0 μB per formula unit. As for the density: 6.87 g cm⁻³. For the raw total energy, the calculation gives -0.3378 Ry per atom.

# 2
This record from Alexandria describes a relaxed Sm2Dy6Y3Er crystal. The functional is GGA-PBE.

abc: 6.1686 10.6744 11.8050
angles: 90.00 99.97 90.00
With the nearest neighbours (Å) after each atom.
Space group C2/m (No. 12)
One atom of each set of equivalent atoms:
Sm 0.0000 0.1666 0.0000 (multiplicity 4)  3 Sm 3.56, 3 Er 3.56, 6 Dy 3.56-3.57
Dy 0.2486 0.5000 0.7496 (multiplicity 4)  3 Y 3.55-3.56, 6 Dy 3.55-3.56, 1 Er 3.56, 2 Sm 3.57
Dy 0.2497 0.1664 0.7497 (multiplicity 8)  6 Dy 3.55-3.56, 3 Y 3.56, 2 Sm 3.56-3.57, 1 Er 3.56
Y 0.0000 0.0000 0.5000 (multiplicity 2)  6 Dy 3.56, 6 Y 3.56
Y 0.0000 0.3336 0.5000 (multiplicity 4)  6 Y 3.55-3.56, 6 Dy 3.55-3.56
Er 0.0000 0.5000 0.0000 (multiplicity 2)  6 Dy 3.56, 6 Sm 3.56

## Properties
For the calculated volume, the calculation gives 766 Å³/cell. The calculation puts the energy of formation at 0.22 eV per formula unit. The magnetic moment is 0.0 μB per formula unit. As for the density: 7.42 g cm⁻³. For the raw total energy, the calculation gives -0.3723 Ry per atom.

# 3
This record from Alexandria describes a relaxed SmDy2Y5Er crystal. The functional is GGA-PBE.

abc: 8.9211 8.9211 14.7879
angles: 90.00 90.00 90.00
With the nearest neighbours (Å) after each atom.
Space group I4/mcm (No. 140)
One atom of each set of equivalent atoms:
Sm 0.0000 0.0000 0.2500 (multiplicity 4)  10 Y 3.64-3.70
Dy 0.1128 0.3872 0.0000 (multiplicity 8)  1 Dy 2.85, 2 Y 3.02
Y 0.0000 0.0000 0.0000 (multiplicity 4)  4 Dy 3.60, 2 Sm 3.70, 8 Y 3.76
Y 0.2051 0.2949 0.3668 (multiplicity 16)  1 Dy 3.02, 1 Er 3.11
Er 0.0000 0.5000 0.2500 (multiplicity 4)  4 Y 3.11

## Properties
For the calculated volume, the calculation gives 1177 Å³/cell. The calculation puts the energy of formation at 2.54 eV per formula unit. The magnetic moment is 0.0 μB per formula unit. As for the density: 6.14 g cm⁻³. For the raw total energy, the calculation gives -0.3942 Ry per atom.

# 4
This record from Alexandria describes a relaxed SmDy2YEr6 crystal. The functional is GGA-PBE.

abc: 8.9861 14.9797 9.5089
angles: 90.00 97.58 90.00
With the nearest neighbours (Å) after each atom.
Space group C2/c (No. 15)
One atom of each set of equivalent atoms:
Sm 0.0000 0.0241 0.2500 (multiplicity 4)  4 Dy 3.37-3.38, 4 Er 3.55-3.67
Dy 0.2497 0.0529 0.5447 (multiplicity 8)  6 Er 3.25-3.57, 2 Sm 3.37-3.38, 1 Y 3.52
Y 0.0000 0.4086 0.7500 (multiplicity 4)  8 Er 3.40-3.79, 2 Dy 3.52
Er 0.0635 0.1874 0.9430 (multiplicity 8)  7 Er 3.36-3.70, 1 Dy 3.47, 1 Sm 3.67
Er 0.1013 0.3921 0.1194 (multiplicity 8)  4 Er 3.18-3.49, 3 Dy 3.25-3.40, 2 Y 3.40-3.52
Er 0.2047 0.2261 0.3173 (multiplicity 8)  3 Er 3.18-3.54, 1 Dy 3.37, 1 Y 3.46, 1 Sm 3.55

## Properties
For the calculated volume, the calculation gives 1269 Å³/cell. The calculation puts the energy of formation at 1.19 eV per formula unit. The magnetic moment is 0.0 μB per formula unit. As for the density: 8.21 g cm⁻³. For the raw total energy, the calculation gives -0.3423 Ry per atom.

# 5
This record from Alexandria describes a relaxed Sm2Dy6Er3Zr crystal. The functional is GGA-PBE.

abc: 6.0905 10.5300 11.6388
angles: 90.00 99.95 90.00
With the nearest neighbours (Å) after each atom.
Space group C2/m (No. 12)
One atom of each set of equivalent atoms:
Sm 0.0000 0.1668 0.0000 (multiplicity 4)  6 Dy 3.50, 3 Zr 3.51-3.52, 3 Sm 3.51
Dy 0.2438 0.5000 0.7529 (multiplicity 4)  6 Dy 3.44-3.55, 1 Zr 3.46, 2 Sm 3.50, 3 Er 3.53-3.56
Dy 0.2461 0.3366 0.2477 (multiplicity 8)  6 Dy 3.44-3.55, 1 Zr 3.47, 2 Sm 3.50, 3 Er 3.52-3.56
Er 0.0000 0.0000 0.5000 (multiplicity 2)  6 Er 3.51, 6 Dy 3.52-3.56
Er 0.0000 0.3336 0.5000 (multiplicity 4)  6 Er 3.50-3.52, 6 Dy 3.52-3.56
Zr 0.0000 0.5000 0.0000 (multiplicity 2)  6 Dy 3.46-3.47, 6 Sm 3.51-3.52

## Properties
For the calculated volume, the calculation gives 735 Å³/cell. The calculation puts the energy of formation at 0.59 eV per formula unit. The magnetic moment is 0.0 μB per formula unit. As for the density: 8.44 g cm⁻³. For the raw total energy, the calculation gives -0.3595 Ry per atom.

# 6
This record from Alexandria describes a relaxed SmDyErZr crystal. The functional is GGA-PBE.

abc: 7.7796 7.7796 7.7796
angles: 90.00 90.00 90.00
With the nearest neighbours (Å) after each atom.
Space group F-43m (No. 216)
One atom of each set of equivalent atoms:
Sm 0.0000 0.0000 0.0000 (multiplicity 4)  4 Dy 3.37, 4 Er 3.37
Dy 0.2500 0.2500 0.2500 (multiplicity 4)  4 Zr 3.37, 4 Sm 3.37
Er 0.2500 0.2500 0.7500 (multiplicity 4)  4 Zr 3.37, 4 Sm 3.37
Zr 0.0000 0.0000 0.5000 (multiplicity 4)  4 Er 3.37, 4 Dy 3.37

## Properties
For the calculated volume, the calculation gives 471 Å³/cell. The calculation puts the energy of formation at 0.89 eV per formula unit. The magnetic moment is 1.9 μB per formula unit. As for the density: 8.06 g cm⁻³. For the raw total energy, the calculation gives -0.3959 Ry per atom.